(1)
Crystalline La2GdMg3Ir3 at its relaxed geometry. Source: OQMD, functional PBE-GGA.

```
data_La2GdMg3Ir3
_chemical_formula_sum 'La4 Gd2 Mg6 Ir6'
_cell_length_a 4.1657
_cell_length_b 12.9019
_cell_length_c 7.4031
_cell_angle_alpha 90.00
_cell_angle_beta 90.00
_cell_angle_gamma 90.00
_space_group_name_H-M_alt 'A m m 2'
_space_group_IT_number 38
_space_group_name_Hall 'A 2 -2'
loop_
_atom_site_label
_atom_site_type_symbol
_atom_site_fract_x
_atom_site_fract_y
_atom_site_fract_z
La1 La 0.0000 0.2072 0.0000
Gd1 Gd 0.0000 0.0000 0.6169
Mg1 Mg 0.5000 0.0000 0.9657
Mg2 Mg 0.5000 0.1179 0.3309
Ir1 Ir 0.0000 0.0000 0.2141
Ir2 Ir 0.5000 0.1632 0.7091
```

Properties
**E**: -5.7181 eV per atom
**Mass density**: 9.053 Mg/m³
**Crystal system**: orthorhombic



(2)
Crystalline CuSn2Ir at its relaxed geometry. Source: OQMD, functional PBE-GGA.

```
data_CuSn2Ir
_chemical_formula_sum 'Cu1 Sn2 Ir1'
_cell_length_a 4.1480
_cell_length_b 4.1480
_cell_length_c 5.2803
_cell_angle_alpha 90.00
_cell_angle_beta 90.00
_cell_angle_gamma 120.00
_space_group_name_H-M_alt 'P -3 m 1'
_space_group_IT_number 164
_space_group_name_Hall '-P 3 2"'
loop_
_atom_site_label
_atom_site_type_symbol
_atom_site_fract_x
_atom_site_fract_y
_atom_site_fract_z
Cu1 Cu 0.0000 0.0000 0.0000
Sn1 Sn 0.3333 0.6667 0.7416
Ir1 Ir 0.0000 0.0000 0.5000
```

Properties
**E**: -5.2983 eV per atom
**Mass density**: 10.409 Mg/m³
**Crystal system**: trigonal



(3)
Crystalline DyTlHgS3 at its relaxed geometry. Source: OQMD, functional PBE-GGA.

```
data_DyTlHgS3
_chemical_formula_sum 'Dy4 Tl4 Hg4 S12'
_cell_length_a 12.1325
_cell_length_b 4.0981
_cell_length_c 12.4858
_cell_angle_alpha 90.00
_cell_angle_beta 90.00
_cell_angle_gamma 90.00
_space_group_name_H-M_alt 'P n m a'
_space_group_IT_number 62
_space_group_name_Hall '-P 2ac 2n'
loop_
_atom_site_label
_atom_site_type_symbol
_atom_site_fract_x
_atom_site_fract_y
_atom_site_fract_z
Dy1 Dy 0.0399 0.2500 0.1600
Tl1 Tl 0.1451 0.2500 0.5261
Hg1 Hg 0.2478 0.7500 0.3173
S1 S 0.0392 0.7500 0.3100
S2 S 0.0863 0.2500 0.9347
S3 S 0.2384 0.7500 0.6747
```

Properties
**E**: -4.2145 eV per atom
**Mass density**: 7.101 Mg/m³
**Crystal system**: orthorhombic



Q: Which of these has the lowest E?
A: La2GdMg3Ir3



Q: Number 2 is which compound?
A: CuSn2Ir



Q: What is the mass density in the second record?
A: 10.409 Mg/m³